No. 1
A geometry-optimized ZrS2NF structure. Source: the Alexandria database, functional GGA-PBEsol.

**SG**: P4/mmm (123)
**E_tot**: -5.579 eV/atom
**Total moment**: 3.1 Bohr magnetons per cell

Unit cell a=4.1508 b=4.9605 c=4.9605 alpha=90.00 beta=90.00 gamma=90.00
Each line ends with the local moment (μB).
Element x y z (fractional)
Zr  0.0000  0.0000  0.0000  -0.10
N  0.5000  0.0000  0.0000  0.84
S  0.0000  0.0000  0.5000  0.49
S  0.0000  0.5000  0.0000  0.49
F  0.5000  0.5000  0.5000  0.42


No. 2
A geometry-optimized SbNF2 structure. Source: the Alexandria database, functional GGA-PBEsol.

**SG**: Fm-3m (225)
**E_tot**: -4.342 eV/atom
**Total moment**: 2.0 Bohr magnetons per cell

Unit cell a=4.0407 b=4.0407 c=4.0407 alpha=60.00 beta=60.00 gamma=60.00
Each line ends with the local moment (μB).
Element x y z (fractional)
F  0.2500  0.2500  0.2500  0.11
F  0.7500  0.7500  0.7500  0.11
N  0.0000  0.0000  0.0000  1.29
Sb  0.5000  0.5000  0.5000  -0.04


No. 3
A geometry-optimized Sb2NF structure. Source: the Alexandria database, functional GGA-PBEsol.

**SG**: I-42d (122)
**E_tot**: -5.028 eV/atom
**Total moment**: 0.0 Bohr magnetons per cell

Unit cell a=4.7273 b=4.7273 c=7.5661 alpha=108.20 beta=108.20 gamma=90.00
Element x y z (fractional)
Sb  0.1250  0.1820  0.7500
Sb  0.4320  0.8750  0.2500
Sb  0.6250  0.5680  0.7500
Sb  0.8180  0.3750  0.2500
F  0.0000  0.0000  0.0000
F  0.2500  0.7500  0.5000
N  0.5000  0.5000  0.0000
N  0.7500  0.2500  0.5000


No. 4
A geometry-optimized TcSbN2F structure. Source: the Alexandria database, functional GGA-PBEsol.

**SG**: P4/mmm (123)
**E_tot**: -6.950 eV/atom
**Total moment**: 0.0 Bohr magnetons per cell

Unit cell a=3.8975 b=3.8975 c=4.0919 alpha=90.00 beta=90.00 gamma=90.00
Element x y z (fractional)
Tc  0.0000  0.0000  0.0000
Sb  0.5000  0.5000  0.5000
N  0.0000  0.5000  0.0000
N  0.5000  0.0000  0.0000
F  0.0000  0.0000  0.5000


No. 5
A geometry-optimized TcSbNF2 structure. Source: the Alexandria database, functional GGA-PBEsol.

**SG**: P4/mmm (123)
**E_tot**: -6.085 eV/atom
**Total moment**: 0.0 Bohr magnetons per cell

Unit cell a=3.7853 b=4.2187 c=4.2187 alpha=90.00 beta=90.00 gamma=90.00
Element x y z (fractional)
Sb  0.5000  0.5000  0.5000
F  0.0000  0.5000  0.0000
F  0.0000  0.0000  0.5000
N  0.5000  0.0000  0.0000
Tc  0.0000  0.0000  0.0000


No. 6
A geometry-optimized SbTe2NF structure. Source: the Alexandria database, functional GGA-PBEsol.

**Excess energy over the best structure of this formula in the dataset**: 0.0 meV/atom
**SG**: P4/mmm (123)
**E_tot**: -3.627 eV/atom
**Total moment**: 0.0 Bohr magnetons per cell

Unit cell a=3.8171 b=5.7393 c=5.7393 alpha=90.00 beta=90.00 gamma=90.00
Element x y z (fractional)
Te  0.0000  0.5000  0.0000
Te  0.0000  0.0000  0.5000
N  0.5000  0.0000  0.0000
Sb  0.0000  0.0000  0.0000
F  0.5000  0.5000  0.5000


- What is the formula in the sixth record?
  SbTe2NF


What did the sixth record say?
A geometry-optimized SbTe2NF structure. Source: the Alexandria database, functional GGA-PBEsol.

**Excess energy over the best structure of this formula in the dataset**: 0.0 meV/atom
**SG**: P4/mmm (123)
**E_tot**: -3.627 eV/atom
**Total moment**: 0.0 Bohr magnetons per cell

Unit cell a=3.8171 b=5.7393 c=5.7393 alpha=90.00 beta=90.00 gamma=90.00
Element x y z (fractional)
Te  0.0000  0.5000  0.0000
Te  0.0000  0.0000  0.5000
N  0.5000  0.0000  0.0000
Sb  0.0000  0.0000  0.0000
F  0.5000  0.5000  0.5000